Li3MgAs2: relaxed, GGA-PBE.

```
12
Lattice="-2.520 -1.946 -1.425 4.162 -5.794 0.551 -3.081 -1.500 7.496" Properties=species:S:1:pos:R:3 pbc="T T T"
As -0.838 -6.617 6.246
Li 0.596 -2.724 2.665
Li 0.812 -4.820 0.875
Mg -2.301 -1.887 2.375
Mg -0.786 -5.059 4.029
Li -3.326 -2.925 5.605
As 1.944 -4.907 3.262
Li 1.612 -6.139 5.531
Li 3.669 -5.602 1.162
As -0.618 -2.600 0.374
As -0.876 -2.369 4.783
Li -0.966 -3.949 7.100
```

Computed properties:
volume = 17.14 Å³ per atom
space-group type = Pmc2_1 (26)
spin magnetization = 0.00 μB per cell
formation energy from the elements = -0.628 eV/atom

LiMgAs2: relaxed, GGA-PBE.

```
4
Lattice="4.938 0.000 0.000 0.000 3.006 -0.003 0.000 0.005 4.941" Properties=species:S:1:pos:R:3 pbc="T T T"
Mg 2.469 1.881 4.323
Li 0.000 1.884 1.849
As 0.000 0.379 4.321
As 2.469 0.377 1.854
```

Computed properties:
volume = 18.34 Å³ per atom
space-group type = P4mm (99)
spin magnetization = 0.00 μB per cell
formation energy from the elements = -0.316 eV/atom

LiMg3As: relaxed, GGA-PBE.

```
5
Lattice="-4.069 -1.012 2.403 1.445 -4.583 0.517 2.171 1.153 4.161" Properties=species:S:1:pos:R:3 pbc="T T T"
Mg 0.722 -2.291 0.258
Li 0.000 0.000 0.000
Mg -2.035 -0.506 1.202
Mg 1.085 0.577 2.081
As -0.227 -2.221 3.541
```

Computed properties:
volume = 22.58 Å³ per atom
E above lowest polymorph = 316 meV per atom
space-group type = Pm-3m (221)
spin magnetization = 0.00 μB per cell
formation energy from the elements = 0.380 eV/atom

LiMgAs2: relaxed, GGA-PBE.

```
8
Lattice="-0.103 -2.297 -6.980 -4.900 -5.181 1.778 -4.620 -1.929 -3.165" Properties=species:S:1:pos:R:3 pbc="T T T"
As -5.353 -4.264 -4.321
Mg 0.000 0.000 0.000
Li -2.502 -3.739 -2.601
As -4.231 -4.013 -0.570
Mg -3.612 -3.983 -6.373
As -1.832 -2.560 -4.915
Li -6.011 -5.424 -1.995
As -7.831 -7.977 -6.931
```

Computed properties:
volume = 19.19 Å³ per atom
space-group type = I-42d (122)
spin magnetization = 0.00 μB per cell
formation energy from the elements = -0.197 eV/atom

Question: Which value of volume does entry 2 give?
Answer: 18.34 Å³ per atom

Question: What is the formation energy from the elements in the third record?
Answer: 0.380 eV/atom

Question: What is the formula in the first record?
Answer: Li3MgAs2